# 1
Crystalline Mg2Ga4Ag at its relaxed geometry, computed with PBE.

Cell and atoms, written as POSCAR:
```
Mg2Ga4Ag
1.0
-2.6141 2.6141 5.4235
2.6141 -2.6141 5.4235
2.6141 2.6141 -5.4235
Mg Ga Ag
2 4 1
Cartesian
0.0000 0.0000 1.5649
0.0000 0.0000 9.2822
2.6141 0.0000 0.0000
2.6141 0.0000 2.7118
0.0000 2.6141 0.0000
0.0000 2.6141 2.7118
0.0000 0.0000 5.4235
```

## Properties
Energy of formation from the pure elements = 0.089 eV per atom
Volume = 21.2 Å³/atom
Size of the total moment = 0.00 μB per formula unit
Crystal system = tetragonal
Fermi-level density of states = 2.76 states/eV/f.u.

=====

# 2
Crystalline Mg2Ga3Ag5 at its relaxed geometry, computed with PBE.

Cell and atoms, written as POSCAR:
```
Mg2Ga3Ag5
1.0
5.1120 -6.4650 0.0000
5.1120 6.4650 0.0000
-0.7096 0.0000 5.5157
Mg Ga Ag
4 6 10
Cartesian
3.2267 3.3129 4.8869
5.9329 3.3129 3.3866
3.5815 -3.3129 2.1291
6.2877 -3.3129 0.6288
3.4232 4.6111 2.1596
6.4460 4.6111 0.5983
4.5798 0.4486 4.1368
4.9346 -0.4486 1.3789
3.0684 -4.6111 4.9174
6.0912 -4.6111 3.3561
4.5798 5.9772 4.1368
1.8831 0.5524 5.5029
3.6483 2.0307 2.1257
2.2379 -0.5524 2.7450
6.2209 2.0307 0.6322
3.2935 -2.0307 4.8835
7.2765 0.5524 2.7706
5.8661 -2.0307 3.3900
7.6313 -0.5524 0.0128
4.9346 -5.9772 1.3789
```

## Properties
Energy of formation from the pure elements = -0.098 eV per atom
Excess energy over the best structure of this formula in the dataset = 0 meV/atom
Volume = 18.2 Å³/atom
Size of the total moment = 0.00 μB per formula unit
Crystal system = monoclinic
Fermi-level density of states = 2.97 states/eV/f.u.

=====

# 3
Crystalline Mg2GaAg3 at its relaxed geometry, computed with PBE.

Cell and atoms, written as POSCAR:
```
Mg2GaAg3
1.0
4.7227 0.0000 0.0000
0.0000 6.4886 0.0000
-2.3200 0.0000 7.0487
Mg Ga Ag
4 2 6
Cartesian
0.0000 0.0000 0.0000
0.0000 3.2443 0.0000
0.0394 0.0000 4.7115
2.3633 0.0000 2.3372
0.0495 3.2443 4.8001
2.3532 3.2443 2.2486
-0.0014 1.6761 2.4099
-0.0014 4.8125 2.4099
2.3614 1.6138 0.0000
2.3614 4.8748 0.0000
2.4041 1.6761 4.6388
2.4041 4.8125 4.6388
```

## Properties
Energy of formation from the pure elements = -0.171 eV per atom
Excess energy over the best structure of this formula in the dataset = 0 meV/atom
Volume = 18.0 Å³/atom
Size of the total moment = 0.00 μB per formula unit
Crystal system = monoclinic
Fermi-level density of states = 1.51 states/eV/f.u.

=====

# 4
Crystalline Mg2GaAg at its relaxed geometry, computed with PBE.

Cell and atoms, written as POSCAR:
```
Mg2GaAg
1.0
3.4761 0.0000 0.0000
0.0000 3.4761 0.0000
0.0000 0.0000 6.2169
Mg Ga Ag
2 1 1
Cartesian
0.0000 0.0000 1.5439
0.0000 0.0000 4.6730
1.7380 1.7380 3.1085
1.7380 1.7380 0.0000
```

## Properties
Energy of formation from the pure elements = -0.192 eV per atom
Volume = 18.8 Å³/atom
Size of the total moment = 0.00 μB per formula unit
Crystal system = tetragonal
Fermi-level density of states = 0.72 states/eV/f.u.

=====

# 5
Crystalline Mg6Ga12Ag at its relaxed geometry, computed with PBE.

Cell and atoms, written as POSCAR:
```
Mg6Ga12Ag
1.0
4.9545 2.8605 4.6282
-4.9545 2.8605 4.6282
0.0000 -5.7210 4.6282
Mg Ga Ag
6 12 1
Cartesian
-0.0932 -2.6040 4.9766
-2.2086 1.3827 4.9766
-2.3017 -1.2213 8.9080
2.3017 1.2213 4.9766
2.2086 -1.3827 8.9080
0.0932 2.6040 8.9080
-1.4503 0.6594 2.2245
0.1541 -1.5857 2.2245
-2.4495 -1.2734 5.9694
1.2962 0.9263 2.2245
-0.1219 -2.7581 7.9152
-2.3276 1.4846 7.9152
2.3276 -1.4846 5.9694
0.1219 2.7581 5.9694
-1.2962 -0.9263 11.6601
2.4495 1.2734 7.9152
-0.1541 1.5857 11.6601
1.4503 -0.6594 11.6601
0.0000 0.0000 0.0000
```

## Properties
Energy of formation from the pure elements = -0.032 eV per atom
Excess energy over the best structure of this formula in the dataset = 20 meV/atom
Volume = 20.7 Å³/atom
Size of the total moment = 0.00 μB per formula unit
Crystal system = trigonal
Fermi-level density of states = 5.75 states/eV/f.u.

=====

# 6
Crystalline Mg2GaAg8 at its relaxed geometry, computed with PBE.

Cell and atoms, written as POSCAR:
```
Mg2GaAg8
1.0
6.2723 -3.7242 0.0000
6.2723 3.7242 0.0000
-1.6415 0.0000 4.3190
Mg Ga Ag
2 1 8
Cartesian
1.6187 0.0000 0.6246
9.2844 0.0000 3.6944
5.4516 -0.9219 2.1595
5.4516 3.7033 2.1595
1.4608 1.4909 3.0593
3.9059 1.3591 1.5464
6.2723 1.6039 0.0000
6.9972 1.3591 2.7726
3.1339 -0.7623 3.7284
9.4423 1.4909 1.2596
7.7693 -0.7623 0.5905
```

## Properties
Energy of formation from the pure elements = -0.060 eV per atom
Excess energy over the best structure of this formula in the dataset = 38 meV/atom
Volume = 18.3 Å³/atom
Size of the total moment = 0.00 μB per formula unit
Crystal system = monoclinic
Fermi-level density of states = 3.41 states/eV/f.u.

=====

# 7
Crystalline MgGa6Ag5 at its relaxed geometry, computed with PBE.

Cell and atoms, written as POSCAR:
```
MgGa6Ag5
1.0
4.6045 -4.4480 0.0000
4.6045 4.4480 0.0000
-1.1419 0.0000 5.2586
Mg Ga Ag
1 6 5
Cartesian
0.0000 0.0000 0.0000
2.0574 1.4952 1.3164
1.4921 0.0000 3.9082
2.0574 -1.4952 1.3164
6.0097 1.4952 3.9422
6.5750 0.0000 1.3504
6.0097 -1.4952 3.9422
4.0336 2.9740 2.6293
4.6045 1.5125 0.0000
4.0336 0.0000 2.6293
4.6045 -1.5125 0.0000
4.0336 -2.9740 2.6293
```

## Properties
Energy of formation from the pure elements = -0.040 eV per atom
Excess energy over the best structure of this formula in the dataset = 0 meV/atom
Volume = 18.0 Å³/atom
Size of the total moment = 0.00 μB per formula unit
Crystal system = monoclinic
Fermi-level density of states = 2.81 states/eV/f.u.

=====

# 8
Crystalline MgGaAg5 at its relaxed geometry, computed with PBE.

Cell and atoms, written as POSCAR:
```
MgGaAg5
1.0
4.2475 0.0000 0.0000
0.0000 4.2475 0.0000
0.0000 0.0000 7.2709
Mg Ga Ag
1 1 5
Cartesian
0.0000 0.0000 0.0000
2.1237 2.1237 3.6355
0.0000 2.1237 2.0269
0.0000 2.1237 5.2440
2.1237 0.0000 2.0269
2.1237 0.0000 5.2440
2.1237 2.1237 0.0000
```

## Properties
Energy of formation from the pure elements = -0.038 eV per atom
Excess energy over the best structure of this formula in the dataset = 0 meV/atom
Volume = 18.7 Å³/atom
Size of the total moment = 0.00 μB per formula unit
Crystal system = tetragonal
Fermi-level density of states = 1.60 states/eV/f.u.

=====

# 9
Crystalline Mg3GaAg at its relaxed geometry, computed with PBE.

Cell and atoms, written as POSCAR:
```
Mg3GaAg
1.0
5.1006 0.0000 0.0000
0.0000 5.1006 0.0000
0.0000 0.0000 5.1006
Mg Ga Ag
3 1 1
Cartesian
0.0000 0.0000 2.5503
0.0000 2.5503 0.0000
2.5503 0.0000 0.0000
2.5503 2.5503 2.5503
0.0000 0.0000 0.0000
```

## Properties
Energy of formation from the pure elements = 0.203 eV per atom
Excess energy over the best structure of this formula in the dataset = 331 meV/atom
Volume = 26.5 Å³/atom
Size of the total moment = 0.00 μB per formula unit
Crystal system = cubic
Fermi-level density of states = 2.22 states/eV/f.u.

=====

# 10
Crystalline Mg2Ga3Ag2 at its relaxed geometry, computed with PBE.

Cell and atoms, written as POSCAR:
```
Mg2Ga3Ag2
1.0
4.9274 -2.1710 0.0000
4.9274 2.1710 0.0000
-2.8415 0.0000 6.2500
Mg Ga Ag
2 3 2
Cartesian
0.6900 0.0000 1.7265
6.3235 0.0000 4.5235
3.6773 0.0000 0.3618
3.5067 0.0000 3.1250
3.3361 0.0000 5.8883
-0.6133 0.0000 4.4045
7.6268 0.0000 1.8455
```

## Properties
Energy of formation from the pure elements = -0.099 eV per atom
Volume = 19.1 Å³/atom
Size of the total moment = 0.00 μB per formula unit
Crystal system = monoclinic
Fermi-level density of states = 1.80 states/eV/f.u.

=====

# 11
Crystalline MgGaAg3 at its relaxed geometry, computed with PBE.

Cell and atoms, written as POSCAR:
```
MgGaAg3
1.0
7.6171 0.0000 0.0000
0.0000 5.1635 0.0000
-3.8622 0.0000 9.0866
Mg Ga Ag
4 4 12
Cartesian
-0.2836 0.8184 1.7225
-2.2147 1.7633 6.2658
5.9696 3.4001 2.8208
4.0385 4.3451 7.3641
-0.7401 3.5241 8.2019
1.1910 4.2211 3.6586
2.5639 0.9424 5.4280
4.4950 1.6393 0.8847
0.7308 3.4210 0.9717
-1.2002 4.3242 5.5150
-1.9358 0.9127 9.0030
-0.0047 1.6690 4.4597
0.3905 0.9265 7.2808
2.3216 1.6553 2.7375
1.4333 3.5082 6.3491
3.3644 4.2370 1.8058
3.7596 3.4945 4.6269
5.6907 4.2507 0.0836
4.9551 0.8393 3.5716
3.0241 1.7424 8.1149
```

## Properties
Energy of formation from the pure elements = -0.112 eV per atom
Excess energy over the best structure of this formula in the dataset = 0 meV/atom
Volume = 17.9 Å³/atom
Size of the total moment = 0.00 μB per formula unit
Crystal system = monoclinic
Fermi-level density of states = 1.31 states/eV/f.u.

=====

# 12
Crystalline MgGa3Ag at its relaxed geometry, computed with PBE.

Cell and atoms, written as POSCAR:
```
MgGa3Ag
1.0
5.0065 0.0000 0.0000
0.0000 5.0065 0.0000
0.0000 0.0000 5.0065
Mg Ga Ag
1 3 1
Cartesian
0.0000 0.0000 0.0000
0.0000 2.5032 2.5032
2.5032 0.0000 2.5032
2.5032 2.5032 0.0000
2.5032 2.5032 2.5032
```

## Properties
Energy of formation from the pure elements = 0.323 eV per atom
Excess energy over the best structure of this formula in the dataset = 384 meV/atom
Volume = 25.1 Å³/atom
Size of the total moment = 0.00 μB per formula unit
Crystal system = cubic
Fermi-level density of states = 3.26 states/eV/f.u.